No. 1
DFT (PBE) results for a relaxed Cu2MoPt crystal.

```
Cu2MoPt
1.0
-3.436 3.436 2.578
3.436 -3.436 2.578
3.436 3.436 -2.578
Cu Mo Pt
4 2 2
direct
0.124 0.625 0.999
0.375 0.374 0.499
0.626 0.125 0.001
0.875 0.876 0.501
0.250 0.750 0.500
0.500 0.500 0.000
0.000 0.000 0.000
0.750 0.250 0.500
```

## Properties
Density of states at the Fermi level, states/eV/atom: 0.881
Total energy, eV per atom: -5.6772
Energy above the most stable polymorph in this dataset, eV/atom: 0.647

***

No. 2
DFT (PBE) results for a relaxed Mn2Ga2NiPt5 crystal.

```
Mn2Ga2NiPt5
1.0
9.155 0.000 0.000
0.000 9.155 0.000
0.000 0.000 3.737
Mn Ga Ni Pt
4 4 2 10
direct
0.171 0.329 0.000
0.329 0.829 0.000
0.671 0.171 0.000
0.829 0.671 0.000
0.131 0.631 0.000
0.369 0.131 0.000
0.631 0.869 0.000
0.869 0.369 0.000
0.000 0.000 0.000
0.500 0.500 0.000
0.000 0.500 0.500
0.077 0.806 0.500
0.194 0.077 0.500
0.306 0.577 0.500
0.423 0.306 0.500
0.500 0.000 0.500
0.577 0.694 0.500
0.694 0.423 0.500
0.806 0.923 0.500
0.923 0.194 0.500
```

## Properties
Density of states at the Fermi level, states/eV/atom: 0.654
Total energy, eV per atom: -6.3249

***

No. 3
DFT (PBE) results for a relaxed RbHg3Pb3 crystal.

```
RbHg3Pb3
1.0
3.341 1.929 12.868
-3.341 1.929 12.868
0.000 -3.858 12.868
Rb Hg Pb
2 6 6
direct
0.191 0.191 0.191
0.809 0.809 0.809
0.233 0.713 0.742
0.258 0.767 0.287
0.287 0.258 0.767
0.713 0.742 0.233
0.742 0.233 0.713
0.767 0.287 0.258
0.034 0.607 0.267
0.267 0.034 0.607
0.393 0.733 0.966
0.607 0.267 0.034
0.733 0.966 0.393
0.966 0.393 0.733
```

## Properties
Density of states at the Fermi level, states/eV/atom: 0.402
Total energy, eV per atom: -1.9283
Energy above the most stable polymorph in this dataset, eV/atom: 0.012

***

No. 4
DFT (PBE) results for a relaxed Cd2H2Pd5 crystal.

```
Cd2H2Pd5
1.0
-2.859 2.860 7.982
2.859 -2.860 7.982
2.859 2.860 -7.982
Cd H Pd
4 4 10
direct
0.002 0.990 0.512
0.238 0.250 0.488
0.478 0.490 0.488
0.762 0.750 0.512
0.120 0.620 0.000
0.405 0.870 0.035
0.620 0.120 0.000
0.835 0.370 0.965
0.248 0.749 0.999
0.370 0.370 0.000
0.370 0.870 0.500
0.491 0.991 0.999
0.620 0.120 0.500
0.620 0.620 0.000
0.749 0.249 0.001
0.870 0.370 0.500
0.870 0.870 0.000
0.992 0.491 0.001
```

## Properties
Density of states at the Fermi level, states/eV/atom: 0.369
Total energy, eV per atom: -4.0727

***

No. 5
DFT (PBE) results for a relaxed Zn4Cu2Ag3 crystal.

```
Zn4Cu2Ag3
1.0
4.648 -1.763 0.000
4.648 1.763 0.000
-2.557 0.000 8.323
Zn Cu Ag
4 2 3
direct
0.014 0.014 0.327
0.329 0.329 0.113
0.671 0.671 0.887
0.986 0.986 0.673
0.333 0.333 0.785
0.667 0.667 0.215
0.000 0.000 0.000
0.336 0.336 0.433
0.664 0.664 0.567
```

## Properties
Density of states at the Fermi level, states/eV/atom: 0.245
Total energy, eV per atom: -2.4396

***

No. 6
DFT (PBE) results for a relaxed GaPHCl2 crystal.

```
GaPHCl2
1.0
4.992 0.000 0.000
0.000 4.992 0.000
0.000 0.000 4.840
Ga P H Cl
1 1 1 2
direct
0.000 0.000 0.000
0.000 0.000 0.500
0.500 0.500 0.500
0.000 0.500 0.000
0.500 0.000 0.000
```

## Properties
Density of states at the Fermi level, states/eV/atom: 0.228
Total energy, eV per atom: -2.6441
Energy above the most stable polymorph in this dataset, eV/atom: 0.243

***

No. 7
DFT (PBE) results for a relaxed La2MgZrSn crystal.

```
La2MgZrSn
1.0
6.077 0.000 0.000
0.000 6.077 0.000
0.000 0.000 5.142
La Mg Zr Sn
2 1 1 1
direct
0.000 0.500 0.000
0.500 0.000 0.000
0.000 0.000 0.500
0.500 0.500 0.500
0.000 0.000 0.000
```

## Properties
Density of states at the Fermi level, states/eV/atom: 1.476
Total energy, eV per atom: -4.2751

***

No. 8
DFT (PBE) results for a relaxed SrRhCl2 crystal.

```
SrRhCl2
1.0
-2.008 2.735 3.973
2.008 -2.735 3.973
2.008 2.735 -3.973
Sr Rh Cl
1 1 2
direct
0.000 0.000 0.000
0.500 0.500 0.000
0.302 0.802 0.500
0.698 0.198 0.500
```

## Properties
Total energy, eV per atom: -4.2012
Formation energy (no corrections), eV/atom: -1.020
Energy above the most stable polymorph in this dataset, eV/atom: 0.000

***

No. 9
DFT (PBE) results for a relaxed BTeHRhAu crystal.

```
BTeHRhAu
1.0
3.275 0.000 0.000
-1.169 3.204 0.000
-1.274 -1.415 7.565
B Te H Rh Au
1 1 1 1 1
direct
0.000 0.000 0.000
0.146 0.448 0.645
0.471 0.763 0.254
0.358 0.633 0.003
0.970 0.288 0.277
```

## Properties
Density of states at the Fermi level, states/eV/atom: 0.268
Total energy, eV per atom: -4.6000
Energy above the most stable polymorph in this dataset, eV/atom: 0.087

***

No. 10
DFT (PBE) results for a relaxed NaNb2Ru2 crystal.

```
NaNb2Ru2
1.0
7.736 0.000 0.000
0.000 7.736 0.000
0.000 0.000 2.981
Na Nb Ru
2 4 4
direct
0.000 0.000 0.000
0.500 0.500 0.000
0.149 0.351 0.500
0.351 0.851 0.500
0.649 0.149 0.500
0.851 0.649 0.500
0.142 0.642 0.000
0.358 0.142 0.000
0.642 0.858 0.000
0.858 0.358 0.000
```

## Properties
Density of states at the Fermi level, states/eV/atom: 0.573
Total energy, eV per atom: -7.8932
Energy above the most stable polymorph in this dataset, eV/atom: 0.000

***

No. 11
DFT (PBE) results for a relaxed Mg2ZnOs crystal.

```
Mg2ZnOs
1.0
3.540 0.000 0.000
0.000 4.214 0.000
0.000 0.000 4.249
Mg Zn Os
2 1 1
direct
0.000 0.000 0.000
0.500 0.000 0.500
0.000 0.500 0.500
0.500 0.500 0.000
```

## Properties
Density of states at the Fermi level, states/eV/atom: 0.529
Total energy, eV per atom: -3.7761

***

No. 12
DFT (PBE) results for a relaxed ThScPb crystal.

```
ThScPb
1.0
8.050 0.000 0.000
0.000 4.437 0.000
0.000 0.000 9.605
Th Sc Pb
4 4 4
direct
0.037 0.250 0.163
0.463 0.750 0.663
0.537 0.250 0.337
0.963 0.750 0.837
0.135 0.250 0.560
0.365 0.750 0.060
0.635 0.250 0.940
0.865 0.750 0.440
0.236 0.750 0.360
0.264 0.250 0.860
0.736 0.750 0.140
0.764 0.250 0.640
```

## Properties
Density of states at the Fermi level, states/eV/atom: 1.131
Total energy, eV per atom: -6.1393
Energy above the most stable polymorph in this dataset, eV/atom: 0.000